1.
This record from Alexandria via LeMat-Bulk describes a relaxed structure of Ba2Zn12Cu3Ag. The functional is PBE.

```
18
Lattice="-6.088 1.983 -5.440 -0.538 -4.201 -7.256 -6.360 -5.366 -1.164" Properties=species:S:1:pos:R:3 pbc="T T T"
Ba -7.823 -4.569 -8.350
Ba -5.162 -3.015 -5.510
Zn -2.237 -0.773 -4.205
Zn -8.185 -3.920 -11.667
Zn -8.326 -7.750 -9.439
Zn -2.325 -3.147 -2.823
Zn -11.219 -4.527 -8.492
Zn -4.118 -1.149 -2.237
Zn -10.748 -6.811 -9.655
Zn -4.800 -3.664 -2.193
Zn -4.659 0.165 -4.421
Zn -10.661 -4.437 -11.037
Zn -1.766 -3.058 -5.368
Zn -8.867 -6.435 -11.623
Cu -3.044 0.992 -2.720
Cu -0.269 -2.101 -3.628
Cu -3.180 -2.683 -0.582
Ag 0.000 0.000 0.000
```

Calculated values
ΔH_f (0 K) = 0.146 eV/atom
Space-group type = R-3m (166)
Total magnetization = 0.0 μB/cell


2.
This record from Alexandria via LeMat-Bulk describes a relaxed structure of MgGa3Cu. The functional is PBE.

```
5
Lattice="4.728 0.000 0.000 0.000 4.728 0.000 0.000 0.000 4.728" Properties=species:S:1:pos:R:3 pbc="T T T"
Mg 2.364 2.364 2.364
Cu 0.000 0.000 0.000
Ga 0.000 2.364 0.000
Ga 0.000 0.000 2.364
Ga 2.364 0.000 0.000
```

Calculated values
ΔH_f (0 K) = 0.140 eV/atom
Space-group type = Pm-3m (221)
Total magnetization = 0.0 μB/cell